Entry 1:
Entry from Alexandria: crystalline Tl2Tc at its relaxed geometry (PBE-GGA).

a = 5.652 Å, b = 5.652 Å, c = 5.652 Å
α = 103.55°, β = 103.55°, γ = 122.11°
Sites, in units of the cell vectors:
Tl1 0.171 0.671 0.843
Tl2 0.329 0.171 0.500
Tl3 0.671 0.829 0.500
Tl4 0.829 0.329 0.157
Tc1 0.250 0.250 0.000
Tc2 0.750 0.750 0.000

=====

Entry 2:
Entry from Alexandria: crystalline TlTc at its relaxed geometry (PBE-GGA).

a = 4.973 Å, b = 4.973 Å, c = 7.850 Å
α = 90.00°, β = 90.00°, γ = 120.00°
Sites, in units of the cell vectors:
Tl1 0.000 0.000 0.250
Tl2 0.000 0.000 0.750
Tl3 0.333 0.667 0.250
Tl4 0.667 0.333 0.750
Tc1 0.333 0.667 0.600
Tc2 0.333 0.667 0.900
Tc3 0.667 0.333 0.100
Tc4 0.667 0.333 0.400

=====

Entry 3:
Entry from Alexandria: crystalline Tl2Tc at its relaxed geometry (PBE-GGA).

a = 7.255 Å, b = 7.255 Å, c = 7.255 Å
α = 154.85°, β = 154.85°, γ = 35.86°
Sites, in units of the cell vectors:
Tl1 0.144 0.144 0.000
Tl2 0.856 0.856 0.000
Tc1 0.500 0.500 0.000

=====

Entry 4:
Entry from Alexandria: crystalline TlTc2 at its relaxed geometry (PBE-GGA).

a = 5.424 Å, b = 5.424 Å, c = 6.886 Å
α = 101.20°, β = 101.20°, γ = 31.87°
Sites, in units of the cell vectors:
Tl1 0.000 0.000 0.000
Tl2 0.700 0.700 0.348
Tc1 0.276 0.276 0.036
Tc2 0.366 0.366 0.662
Tc3 0.656 0.656 0.737
Tc4 0.978 0.978 0.439

=====

Entry 5:
Entry from Alexandria: crystalline Tl5Tc3 at its relaxed geometry (PBE-GGA).

a = 8.236 Å, b = 8.236 Å, c = 5.737 Å
α = 90.00°, β = 90.00°, γ = 120.00°
Sites, in units of the cell vectors:
Tl1 0.000 0.241 0.250
Tl2 0.000 0.759 0.750
Tl3 0.241 0.000 0.250
Tl4 0.241 0.241 0.750
Tl5 0.333 0.667 0.000
Tl6 0.333 0.667 0.500
Tl7 0.667 0.333 0.000
Tl8 0.667 0.333 0.500
Tl9 0.759 0.000 0.750
Tl10 0.759 0.759 0.250
Tc1 0.000 0.394 0.750
Tc2 0.000 0.606 0.250
Tc3 0.394 0.000 0.750
Tc4 0.394 0.394 0.250
Tc5 0.606 0.000 0.250
Tc6 0.606 0.606 0.750

=====

Entry 6:
Entry from Alexandria: crystalline Tl5Tc4 at its relaxed geometry (PBE-GGA).

a = 6.859 Å, b = 6.859 Å, c = 6.859 Å
α = 96.21°, β = 96.21°, γ = 141.59°
Sites, in units of the cell vectors:
Tl1 0.000 0.000 0.000
Tl2 0.324 0.324 0.649
Tl3 0.324 0.676 0.000
Tl4 0.676 0.324 0.000
Tl5 0.676 0.676 0.351
Tc1 0.000 0.373 0.373
Tc2 0.000 0.627 0.627
Tc3 0.373 0.000 0.373
Tc4 0.627 0.000 0.627

=====

Entry 7:
Entry from Alexandria: crystalline TlTc at its relaxed geometry (PBE-GGA).

a = 6.394 Å, b = 6.394 Å, c = 3.016 Å
α = 90.00°, β = 90.00°, γ = 136.81°
Sites, in units of the cell vectors:
Tl1 0.144 0.856 0.000
Tl2 0.856 0.144 0.000
Tc1 0.409 0.591 0.500
Tc2 0.591 0.409 0.500

=====

Entry 8:
Entry from Alexandria: crystalline TlTc at its relaxed geometry (PBE-GGA).

a = 7.098 Å, b = 7.098 Å, c = 7.098 Å
α = 33.38°, β = 33.38°, γ = 33.38°
Sites, in units of the cell vectors:
Tl1 0.106 0.106 0.106
Tl2 0.894 0.894 0.894
Tc1 0.341 0.341 0.341
Tc2 0.659 0.659 0.659

=====

Number 1: energy relative to the elements 0.492 eV per atom, E above lowest polymorph 0.0489 eV/atom. Number 2: energy relative to the elements 1.084 eV per atom, E above lowest polymorph 0.7757 eV/atom. Number 3: energy relative to the elements 0.768 eV per atom, E above lowest polymorph 0.3248 eV/atom. Number 4: energy relative to the elements 0.656 eV per atom, E above lowest polymorph 0.2936 eV/atom. Number 5: energy relative to the elements 0.830 eV per atom, E above lowest polymorph 0.2654 eV/atom. Number 6: energy relative to the elements 0.652 eV per atom, E above lowest polymorph 0.0000 eV/atom. Number 7: energy relative to the elements 0.628 eV per atom, E above lowest polymorph 0.3192 eV/atom. Number 8: energy relative to the elements 0.614 eV per atom, E above lowest polymorph 0.3050 eV/atom.